1.
Entry from the Alexandria database: a geometry-optimized LiLa2Ta structure (PBE).

The structure belongs to space group Cmm2 (No. 35); the cell edges are 3.353, 5.313 and 11.534 Å and the angles 90.00°, 90.00° and 90.00°. The asymmetric unit holds Li at (0.000, 0.000, 0.000), La at (0.000, 0.000, 0.562), La at (0.000, 0.500, 0.263) and Ta at (0.000, 0.500, 0.791).

The density of states at the Fermi level is 10.986 states/eV per cell.



2.
Entry from the Alexandria database: a geometry-optimized LiLa2Ta structure (PBE).

The structure belongs to space group I-42d (No. 122); the cell edges are 4.533, 4.533 and 20.333 Å and the angles 90.00°, 90.00° and 90.00°. The asymmetric unit holds Li at (0.000, 0.000, 0.000), La at (0.250, 0.250, 0.125) and Ta at (0.000, 0.000, 0.500).

The density of states at the Fermi level is 19.562 states/eV per cell.



3.
Entry from the Alexandria database: a geometry-optimized LiLa2Ta structure (PBE).

The structure belongs to space group R3m (No. 160, hexagonal axes); the cell edges are 3.3134, 3.3134 and 33.0605 Å and the angles 90.00°, 90.00° and 120.00°. The asymmetric unit holds Li at (0.0000, 0.0000, 0.0000), La at (0.0000, 0.0000, 0.2442), La at (0.0000, 0.0000, 0.4809) and Ta at (0.0000, 0.0000, 0.7369).

The density of states at the Fermi level is 9.588 states/eV per cell.



4.
Entry from the Alexandria database: a geometry-optimized LiLa2Ta structure (PBE).

The structure belongs to space group Fm-3m (No. 225); the cell edges are 7.447, 7.447 and 7.447 Å and the angles 90.00°, 90.00° and 90.00°. The asymmetric unit holds Li at (0.000, 0.000, 0.000), La at (0.250, 0.250, 0.250) and Ta at (0.000, 0.000, 0.500).

The density of states at the Fermi level is 21.756 states/eV per cell.



5.
Entry from the Alexandria database: a geometry-optimized LiLa2Ta structure (PBE).

The structure belongs to space group P2/m (No. 10); the cell edges are 5.645, 3.169 and 6.182 Å and the angles 90.00°, 109.05° and 90.00°. The asymmetric unit holds Li at (0.000, 0.000, 0.000), La at (0.000, 0.000, 0.500), La at (0.500, 0.500, 0.000) and Ta at (0.500, 0.500, 0.500).

The density of states at the Fermi level is 3.902 states/eV per cell.



6.
Entry from the Alexandria database: a geometry-optimized Li2LaTaW structure (PBE).

The structure belongs to space group P4/mmm (No. 123); the cell edges are 4.700, 4.700 and 5.293 Å and the angles 90.00°, 90.00° and 90.00°. The asymmetric unit holds Li at (0.000, 0.500, 0.000), La at (0.000, 0.000, 0.500), Ta at (0.000, 0.000, 0.000) and W at (0.500, 0.500, 0.500).

The density of states at the Fermi level is 6.194 states/eV per cell.



7.
Entry from the Alexandria database: a geometry-optimized Li4LaTb structure (PBE).

The structure belongs to space group F-43m (No. 216); the cell edges are 8.435, 8.435 and 8.435 Å and the angles 90.00°, 90.00° and 90.00°. The asymmetric unit holds Li at (0.124, 0.124, 0.376), La at (0.000, 0.000, 0.000) and Tb at (0.250, 0.250, 0.750).

The density of states at the Fermi level is 26.722 states/eV per cell.



8.
Entry from the Alexandria database: a geometry-optimized LiLa4Tb structure (PBE).

The structure belongs to space group P4/mmm (No. 123); the cell edges are 3.721, 3.721 and 14.503 Å and the angles 90.00°, 90.00° and 90.00°. The asymmetric unit holds Li at (0.000, 0.000, 0.000), La at (0.000, 0.000, 0.326), La at (0.500, 0.500, 0.152) and Tb at (0.500, 0.500, 0.500).

The density of states at the Fermi level is 9.535 states/eV per cell.



9.
Entry from the Alexandria database: a geometry-optimized LiLaTbTc structure (PBE).

The structure belongs to space group F-43m (No. 216); the cell edges are 7.133, 7.133 and 7.133 Å and the angles 90.00°, 90.00° and 90.00°. The asymmetric unit holds Li at (0.000, 0.000, 0.000), La at (0.250, 0.250, 0.750), Tb at (0.250, 0.250, 0.250) and Tc at (0.000, 0.000, 0.500).

The density of states at the Fermi level is 15.336 states/eV per cell.



10.
Entry from the Alexandria database: a geometry-optimized LiLa4Tb3Te8 structure (PBE).

The structure belongs to space group R-3m (No. 166, hexagonal axes); the cell edges are 8.9297, 8.9297 and 21.9253 Å and the angles 90.00°, 90.00° and 120.00°. The asymmetric unit holds Li at (0.0000, 0.0000, 0.0000), La at (0.0000, 0.0000, 0.5000), La at (0.0000, 0.5000, 0.5000), Tb at (0.0000, 0.5000, 0.0000), Te at (0.0000, 0.0000, 0.2548) and Te at (0.0064, 0.5032, 0.7434).

The formation energy (no corrections) is -1.4475 eV/atom. The density of states at the Fermi level is 29.709 states/eV per cell.



11.
Entry from the Alexandria database: a geometry-optimized LiLa2Tb3Te6 structure (PBE).

The structure belongs to space group C2/m (No. 12); the cell edges are 19.398, 4.421 and 8.919 Å and the angles 90.00°, 103.86° and 90.00°. The asymmetric unit holds Li at (0.000, 0.000, 0.000), La at (0.167, 0.500, 0.335), Tb at (0.000, 0.000, 0.500), Tb at (0.170, 0.500, 0.830), Te at (0.004, 0.500, 0.756), Te at (0.162, 0.000, 0.068) and Te at (0.162, 0.000, 0.590).

The formation energy (no corrections) is -1.4105 eV/atom. The density of states at the Fermi level is 9.340 states/eV per cell.



12.
Entry from the Alexandria database: a geometry-optimized Li3LaTb2Te6 structure (PBE).

The structure belongs to space group C2/m (No. 12); the cell edges are 7.665, 13.279 and 7.512 Å and the angles 90.00°, 109.89° and 90.00°. The asymmetric unit holds Li at (0.000, 0.000, 0.000), Li at (0.000, 0.333, 0.000), La at (0.000, 0.500, 0.500), Tb at (0.000, 0.167, 0.500), Te at (0.242, 0.172, 0.242) and Te at (0.243, 0.000, 0.760).

The formation energy (no corrections) is -1.3185 eV/atom.



13.
Entry from the Alexandria database: a geometry-optimized LiLaTbTe3 structure (PBE).

The structure belongs to space group P2_1/m (No. 11); the cell edges are 9.062, 4.337 and 9.616 Å and the angles 90.00°, 103.96° and 90.00°. The asymmetric unit holds Li at (0.086, 0.250, 0.087), La at (0.189, 0.250, 0.732), Tb at (0.332, 0.750, 0.344), Te at (0.094, 0.250, 0.373), Te at (0.230, 0.750, 0.005) and Te at (0.435, 0.750, 0.678).

The formation energy (no corrections) is -1.3581 eV/atom. The density of states at the Fermi level is 6.159 states/eV per cell.



14.
Entry from the Alexandria database: a geometry-optimized LiLa2TbTe5 structure (PBE).

The structure belongs to space group Cmc2_1 (No. 36); the cell edges are 4.483, 18.909 and 13.313 Å and the angles 90.00°, 90.00° and 90.00°. The asymmetric unit holds Li at (0.000, 0.058, 0.000), La at (0.000, 0.375, 0.842), La at (0.000, 0.393, 0.223), Tb at (0.000, 0.302, 0.547), Te at (0.000, 0.002, 0.318), Te at (0.000, 0.138, 0.537), Te at (0.000, 0.189, 0.886), Te at (0.000, 0.215, 0.206) and Te at (0.000, 0.453, 0.607).

The formation energy (no corrections) is -1.4299 eV/atom.



15.
Entry from the Alexandria database: a geometry-optimized Li2LaTb2Tl2 structure (PBE).

The structure belongs to space group R-3m (No. 166, hexagonal axes); the cell edges are 4.9148, 4.9148 and 27.2875 Å and the angles 90.00°, 90.00° and 120.00°. The asymmetric unit holds Li at (0.0000, 0.0000, 0.0915), La at (0.0000, 0.0000, 0.5000), Tb at (0.0000, 0.0000, 0.3711) and Tl at (0.0000, 0.0000, 0.2425).

The density of states at the Fermi level is 15.721 states/eV per cell.



16.
Entry from the Alexandria database: a geometry-optimized LiLaTbTl structure (PBE).

The structure belongs to space group F-43m (No. 216); the cell edges are 7.700, 7.700 and 7.700 Å and the angles 90.00°, 90.00° and 90.00°. The asymmetric unit holds Li at (0.000, 0.000, 0.000), La at (0.250, 0.250, 0.250), Tb at (0.250, 0.250, 0.750) and Tl at (0.000, 0.000, 0.500).

The density of states at the Fermi level is 16.901 states/eV per cell.



17.
Entry from the Alexandria database: a geometry-optimized Li2La2TbTl5 structure (PBE).

The structure belongs to space group P4/mbm (No. 127); the cell edges are 10.882, 10.882 and 4.409 Å and the angles 90.00°, 90.00° and 90.00°. The asymmetric unit holds Li at (0.118, 0.382, 0.000), La at (0.176, 0.676, 0.000), Tb at (0.000, 0.000, 0.000), Tl at (0.000, 0.500, 0.500) and Tl at (0.071, 0.210, 0.500).

The density of states at the Fermi level is 8.622 states/eV per cell.



18.
Entry from the Alexandria database: a geometry-optimized Li2La3Tb2Tl4 structure (PBE).

The structure belongs to space group P-3m1 (No. 164); the cell edges are 5.1663, 5.1663 and 14.2150 Å and the angles 90.00°, 90.00° and 120.00°. The asymmetric unit holds Li at (0.3333, 0.6667, 0.1307), La at (0.0000, 0.0000, 0.0000), La at (0.0000, 0.0000, 0.2439), Tb at (0.3333, 0.6667, 0.5791), Tl at (0.3333, 0.6667, 0.3542) and Tl at (0.3333, 0.6667, 0.8734).

The density of states at the Fermi level is 11.464 states/eV per cell.



19.
Entry from the Alexandria database: a geometry-optimized LiLaTbTm structure (PBE).

The structure belongs to space group F-43m (No. 216); the cell edges are 7.857, 7.857 and 7.857 Å and the angles 90.00°, 90.00° and 90.00°. The asymmetric unit holds Li at (0.000, 0.000, 0.000), La at (0.250, 0.250, 0.250), Tb at (0.250, 0.250, 0.750) and Tm at (0.000, 0.000, 0.500).

The density of states at the Fermi level is 17.484 states/eV per cell.



20.
Entry from the Alexandria database: a geometry-optimized Li4LaTc structure (PBE).

The structure belongs to space group F-43m (No. 216); the cell edges are 7.460, 7.460 and 7.460 Å and the angles 90.00°, 90.00° and 90.00°. The asymmetric unit holds Li at (0.120, 0.120, 0.120), La at (0.000, 0.000, 0.500) and Tc at (0.250, 0.250, 0.750).

The density of states at the Fermi level is 10.683 states/eV per cell.



21.
Entry from the Alexandria database: a geometry-optimized LiLa2Tc structure (PBE).

The structure belongs to space group Cmm2 (No. 35); the cell edges are 3.762, 5.543 and 9.936 Å and the angles 90.00°, 90.00° and 90.00°. The asymmetric unit holds Li at (0.000, 0.000, 0.000), La at (0.000, 0.000, 0.366), La at (0.000, 0.500, 0.717) and Tc at (0.000, 0.500, 0.190).

The density of states at the Fermi level is 9.532 states/eV per cell.



22.
Entry from the Alexandria database: a geometry-optimized LiLaTc2 structure (PBE).

The structure belongs to space group C2/m (No. 12); the cell edges are 5.385, 9.560 and 3.002 Å and the angles 90.00°, 115.09° and 90.00°. The asymmetric unit holds Li at (0.000, 0.000, 0.000), La at (0.000, 0.500, 0.000) and Tc at (0.250, 0.250, 0.500).

The density of states at the Fermi level is 10.080 states/eV per cell.



23.
Entry from the Alexandria database: a geometry-optimized Li3LaTc structure (PBE).

The structure belongs to space group Pm-3m (No. 221); the cell edges are 4.750, 4.750 and 4.750 Å and the angles 90.00°, 90.00° and 90.00°. The asymmetric unit holds Li at (0.000, 0.000, 0.500), La at (0.500, 0.500, 0.500) and Tc at (0.000, 0.000, 0.000).

The density of states at the Fermi level is 6.921 states/eV per cell.



24.
Entry from the Alexandria database: a geometry-optimized LiLaTc2 structure (PBE).

The structure belongs to space group Fm-3m (No. 225); the cell edges are 6.464, 6.464 and 6.464 Å and the angles 90.00°, 90.00° and 90.00°. The asymmetric unit holds Li at (0.000, 0.000, 0.000), La at (0.000, 0.000, 0.500) and Tc at (0.250, 0.250, 0.250).

The density of states at the Fermi level is 24.343 states/eV per cell.



25.
Entry from the Alexandria database: a geometry-optimized LiLa2Tc structure (PBE).

The structure belongs to space group I-4m2 (No. 119); the cell edges are 4.443, 4.443 and 9.336 Å and the angles 90.00°, 90.00° and 90.00°. The asymmetric unit holds Li at (0.000, 0.000, 0.000), La at (0.000, 0.000, 0.500), La at (0.000, 0.500, 0.250) and Tc at (0.000, 0.500, 0.750).

The density of states at the Fermi level is 7.807 states/eV per cell.



Number 1: uncorrected energy -43.18 eV per cell, total moment 0.000 μB per atom. Number 2: uncorrected energy -80.19 eV per cell, total moment 0.000 μB per atom. Number 3: uncorrected energy -64.63 eV per cell, total moment 0.000 μB per atom. Number 4: uncorrected energy -88.29 eV per cell, total moment 0.145 μB per atom. Number 5: uncorrected energy -21.54 eV per cell, total moment 0.000 μB per atom. Number 6: uncorrected energy -23.13 eV per cell, total moment 0.364 μB per atom. Number 7: uncorrected energy -66.17 eV per cell, total moment 0.000 μB per atom. Number 8: uncorrected energy -26.00 eV per cell, total moment 0.000 μB per atom. Number 9: uncorrected energy -86.85 eV per cell, total moment 0.000 μB per atom. Number 10: uncorrected energy -251.42 eV per cell, total moment 0.000 μB per atom. Number 11: uncorrected energy -122.87 eV per cell, total moment 0.000 μB per atom. Number 12: uncorrected energy -109.20 eV per cell, total moment 0.000 μB per atom. Number 13: uncorrected energy -58.09 eV per cell, total moment 0.000 μB per atom. Number 14: uncorrected energy -179.91 eV per cell, total moment 0.000 μB per atom. Number 15: uncorrected energy -72.56 eV per cell, total moment 0.000 μB per atom. Number 16: uncorrected energy -58.53 eV per cell, total moment 0.000 μB per atom. Number 17: uncorrected energy -67.05 eV per cell, total moment 0.000 μB per atom. Number 18: uncorrected energy -39.75 eV per cell, total moment 0.023 μB per atom. Number 19: uncorrected energy -61.30 eV per cell, total moment 0.000 μB per atom. Number 20: uncorrected energy -84.31 eV per cell, total moment 0.000 μB per atom. Number 21: uncorrected energy -40.99 eV per cell, total moment 0.000 μB per atom. Number 22: uncorrected energy -51.47 eV per cell, total moment 0.000 μB per atom. Number 23: uncorrected energy -17.22 eV per cell, total moment 0.000 μB per atom. Number 24: uncorrected energy -100.06 eV per cell, total moment 0.000 μB per atom. Number 25: uncorrected energy -41.93 eV per cell, total moment 0.000 μB per atom.